VASP calculation (GGA-PBE) on a relaxed structure of SiAg2HgSe3S.

Calculated values
Uncorrected energy in eV for the cell shown: -56.352

a = 8.2810 Å, b = 8.3624 Å, c = 7.2305 Å
α = 90.00°, β = 124.57°, γ = 90.00°
Sites, in units of the cell vectors:
1 Si 0.0000 0.0000 0.0000
2 Si 0.5000 0.5000 0.0000
3 Ag 0.0032 0.2357 0.5216
4 Ag 0.0032 0.7643 0.5216
5 Ag 0.5032 0.2643 0.5216
6 Ag 0.5032 0.7357 0.5216
7 Hg 0.0017 0.5000 0.0154
8 Hg 0.5017 0.0000 0.0154
9 Se 0.1158 0.2180 0.2427
10 Se 0.1158 0.7820 0.2427
11 Se 0.1593 0.5000 0.7656
12 Se 0.6158 0.2820 0.2427
13 Se 0.6158 0.7180 0.2427
14 Se 0.6593 0.0000 0.7656
15 S 0.1053 0.0000 0.7873
16 S 0.6053 0.5000 0.7873


VASP calculation (GGA-PBE) on a relaxed structure of LiScAu.

Calculated values
Offset from the most stable computed form in meV per atom: 0
Uncorrected energy in eV for the cell shown: -50.464
Spin magnetization in μB per formula unit: 0.00

a = 6.3702 Å, b = 6.3702 Å, c = 6.3702 Å
α = 90.00°, β = 90.00°, γ = 90.00°
Sites, in units of the cell vectors:
1 Li 0.0000 0.0000 0.0000
2 Li 0.0000 0.5000 0.5000
3 Li 0.5000 0.0000 0.5000
4 Li 0.5000 0.5000 0.0000
5 Sc 0.0000 0.0000 0.5000
6 Sc 0.0000 0.5000 0.0000
7 Sc 0.5000 0.0000 0.0000
8 Sc 0.5000 0.5000 0.5000
9 Au 0.2500 0.2500 0.2500
10 Au 0.2500 0.7500 0.7500
11 Au 0.7500 0.2500 0.7500
12 Au 0.7500 0.7500 0.2500


VASP calculation (GGA-PBE) on a relaxed structure of ScCuSiOs.

Calculated values
Offset from the most stable computed form in meV per atom: 0
Uncorrected energy in eV for the cell shown: -110.944
Spin magnetization in μB per formula unit: 0.00

a = 6.1243 Å, b = 6.1243 Å, c = 6.1243 Å
α = 90.00°, β = 90.00°, γ = 90.00°
Sites, in units of the cell vectors:
1 Sc 0.0000 0.0000 0.0000
2 Sc 0.0000 0.5000 0.5000
3 Sc 0.5000 0.0000 0.5000
4 Sc 0.5000 0.5000 0.0000
5 Cu 0.2500 0.2500 0.7500
6 Cu 0.2500 0.7500 0.2500
7 Cu 0.7500 0.2500 0.2500
8 Cu 0.7500 0.7500 0.7500
9 Si 0.0000 0.0000 0.5000
10 Si 0.0000 0.5000 0.0000
11 Si 0.5000 0.0000 0.0000
12 Si 0.5000 0.5000 0.5000
13 Os 0.2500 0.2500 0.2500
14 Os 0.2500 0.7500 0.7500
15 Os 0.7500 0.2500 0.7500
16 Os 0.7500 0.7500 0.2500


VASP calculation (GGA-PBE) on a relaxed structure of CsSrSm.

Calculated values
Offset from the most stable computed form in meV per atom: 95
Uncorrected energy in eV for the cell shown: -16.605
Spin magnetization in μB per formula unit: 0.01

a = 8.5684 Å, b = 8.5684 Å, c = 8.5684 Å
α = 90.00°, β = 90.00°, γ = 90.00°
Sites, in units of the cell vectors:
1 Cs 0.0000 0.0000 0.0000
2 Cs 0.0000 0.5000 0.5000
3 Cs 0.5000 0.0000 0.5000
4 Cs 0.5000 0.5000 0.0000
5 Sr 0.2500 0.2500 0.2500
6 Sr 0.2500 0.7500 0.7500
7 Sr 0.7500 0.2500 0.7500
8 Sr 0.7500 0.7500 0.2500
9 Sm 0.2500 0.2500 0.7500
10 Sm 0.2500 0.7500 0.2500
11 Sm 0.7500 0.2500 0.2500
12 Sm 0.7500 0.7500 0.7500


VASP calculation (GGA-PBE) on a relaxed structure of Fe3Au.

Calculated values
Uncorrected energy in eV for the cell shown: -55.281
Spin magnetization in μB per formula unit: 8.02

a = 3.7030 Å, b = 3.7030 Å, c = 7.7443 Å
α = 90.00°, β = 90.00°, γ = 90.00°
Sites, in units of the cell vectors:
1 Fe 0.0000 0.0000 0.0000
2 Fe 0.0000 0.5000 0.2500
3 Fe 0.0000 0.5000 0.7500
4 Fe 0.5000 0.0000 0.2500
5 Fe 0.5000 0.0000 0.7500
6 Fe 0.5000 0.5000 0.5000
7 Au 0.0000 0.0000 0.5000
8 Au 0.5000 0.5000 0.0000


VASP calculation (GGA-PBE) on a relaxed structure of CdS2.

Calculated values
Uncorrected energy in eV for the cell shown: -13.521

a = 8.0018 Å, b = 8.0018 Å, c = 8.0018 Å
α = 60.00°, β = 60.00°, γ = 60.00°
Sites, in units of the cell vectors:
1 Cd 0.1250 0.1250 0.1250
2 Cd 0.8750 0.8750 0.8750
3 S 0.0000 0.0000 0.0000
4 S 0.0000 0.0000 0.5000
5 S 0.0000 0.5000 0.0000
6 S 0.5000 0.0000 0.0000


Q: Which of these has the highest uncorrected energy?
A: CdS2